No. 1
Computed, not measured: a relaxed VHIO2 crystal at the GGA+U level of DFT.

Cell: 3.666 3.666 5.872 Å, 90.00 90.00 90.00°
Sites, in units of the cell vectors:
V: 0.000 0.000 0.000
H: 0.500 0.500 0.500
I: 0.000 0.000 0.500
O: 0.000 0.500 0.000
O: 0.500 0.000 0.000

Polymorph energy (0 for the lowest one) in meV/atom: 0
Crystal system: tetragonal
Space-group type: P4/mmm

=====

No. 2
Computed, not measured: a relaxed CrOsN2F crystal at the GGA+U level of DFT.

Cell: 3.938 3.938 3.648 Å, 90.00 90.00 90.00°
Sites, in units of the cell vectors:
Cr: 0.000 0.000 0.000
Os: 0.500 0.500 0.500
N: 0.000 0.500 0.000
N: 0.500 0.000 0.000
F: 0.000 0.000 0.500

Polymorph energy (0 for the lowest one) in meV/atom: 765
Crystal system: tetragonal
Space-group type: P4/mmm

=====

no.,volume (Å³/f.u.),raw total energy (eV/atom),size of the total moment (μB per formula unit)
1,79,-4.9637,0.70
2,57,-6.4626,4.69